[1]
First-principles (SCAN) data for Na6Cd16Au7 at its PBEsol-relaxed geometry, as listed in the Alexandria database.

Cell: 13.5127 13.5127 13.5127 Å, 90.00 90.00 90.00°
Space group Fm-3m (No. 225)
Symmetry-distinct sites (fractional):
Na (0.0000, 0.0000, 0.2093) x24
Cd (0.1192, 0.1192, 0.3808) x32
Cd (0.1640, 0.1640, 0.1640) x32
Au (0.0000, 0.0000, 0.5000) x4
Au (0.0000, 0.2500, 0.2500) x24

Calculated values
**Formation energy from the elements**: -0.3002 eV/atom
**Volume**: 21.3 Å³/atom
**Total DFT energy (no corrections)**: -34.65 eV per atom


[2]
First-principles (SCAN) data for Na3CdAu at its PBEsol-relaxed geometry, as listed in the Alexandria database.

Cell: 5.5120 5.5120 5.5120 Å, 90.00 90.00 90.00°
Space group Pm-3m (No. 221)
Symmetry-distinct sites (fractional):
Na (0.0000, 0.0000, 0.5000) x3
Cd (0.0000, 0.0000, 0.0000) x1
Au (0.5000, 0.5000, 0.5000) x1

Calculated values
**Formation energy from the elements**: 0.3118 eV/atom
**Volume**: 33.5 Å³/atom
**Total DFT energy (no corrections)**: -22.13 eV per atom